Ho2Ga4Pt3Au: optimized geometry, PBE.

It has space group P-4m2 (No. 115), with a = 4.179 Å, b = 4.179 Å, c = 10.865 Å, α = 90.00°, β = 90.00° and γ = 90.00°. Symmetry generates all atoms from Ho at (0.000, 0.500, 0.242), Ga at (0.000, 0.000, 0.000), Ga at (0.000, 0.500, 0.638), Ga at (0.500, 0.500, 0.000), Pt at (0.000, 0.500, 0.863), Pt at (0.500, 0.500, 0.500) and Au at (0.000, 0.000, 0.500).

As for the density of states at the Fermi level: 0.398 states/eV/atom. The raw total energy comes out at -51.20 eV/cell.